The following is a GGA-PBE calculation of Er3Tm2Co2 after structural relaxation, from Alexandria.

Computed properties:
* energy of formation: -4.5 kcal/mol of atoms
* electronic total energy: -38.2 eV per formula unit

The structure in POSCAR format:
```
Er3Tm2Co2
1.0
5.8898 -1.8151 0.0000
5.8898 1.8151 0.0000
-3.8483 0.0000 7.8048
Er Tm Co
3 2 2
Cartesian
0.0000 0.0000 0.0000
-0.2614 0.0000 3.3444
8.1927 0.0000 4.4604
3.1229 0.0000 1.5197
4.8084 0.0000 6.2851
0.8640 0.0000 5.9374
7.0672 0.0000 1.8675
```